Below is a relaxed BiRhSe crystal, with properties calculated at the GGA-PBE level.

Density of states at the Fermi level: 0.696 states/eV per atom
E_form (uncorrected): -0.22 eV/atom
VASP energy: -15.38 eV for the cell shown
Total magnetization: 0.000 μB per atom

Unit cell a=3.7241 b=3.7241 c=5.7518 alpha=90.00 beta=90.00 gamma=120.00
Closest atoms and distances in Å follow each position.
Sites, in units of the cell vectors:
Rh 0.6667 0.3333 0.3722  3 Se 2.46
Bi 0.0000 0.0000 0.0491  3 Rh 2.84
Se 0.3333 0.6667 0.5786  3 Rh 2.46

***

Below is a relaxed Bi6RhSe2 crystal, with properties calculated at the GGA-PBE level.

Density of states at the Fermi level: 0.449 states/eV per atom
E_form (uncorrected): -0.10 eV/atom
VASP energy: -76.99 eV for the cell shown
Total magnetization: 0.000 μB per atom

Unit cell a=8.7622 b=8.7622 c=8.7726 alpha=93.25 beta=93.25 gamma=127.70
Closest atoms and distances in Å follow each position.
Sites, in units of the cell vectors:
Bi 0.6728 0.6894 0.1642  1 Rh 2.79
Bi 0.3106 0.3272 0.3358  1 Rh 2.79
Bi 0.3272 0.3106 0.8358  1 Rh 2.79
Bi 0.6894 0.6728 0.6642  1 Rh 2.79
Bi 0.9771 0.5591 0.2654  1 Rh 2.81, 3 Se 2.89-3.04
Bi 0.4409 0.0229 0.2346  1 Rh 2.81, 3 Se 2.89-3.04
Bi 0.0229 0.4409 0.7346  1 Rh 2.81, 3 Se 2.89-3.04
Bi 0.5591 0.9771 0.7654  1 Rh 2.81, 3 Se 2.89-3.04
Bi 0.1499 0.9586 0.5723  2 Rh 2.83-3.13
Bi 0.0414 0.8501 0.9277  2 Rh 2.83-3.13
Bi 0.8501 0.0414 0.4277  2 Rh 2.83-3.13
Bi 0.9586 0.1499 0.0723  2 Rh 2.83-3.13
Rh 0.0727 0.9273 0.2500  6 Bi 2.79-2.83
Rh 0.9273 0.0727 0.7500  6 Bi 2.79-2.83
Se 0.3483 0.7094 0.9886  3 Bi 2.89-3.04
Se 0.2906 0.6517 0.5114  3 Bi 2.89-3.04
Se 0.6517 0.2906 0.0114  3 Bi 2.89-3.04
Se 0.7094 0.3483 0.4886  3 Bi 2.89-3.04

***

> Among the records above, which one has the highest density of states at the Fermi level?

BiRhSe